Crystalline Zn2AsClO at its relaxed geometry, computed with PBE-GGA.

Output
**Space group**: P4/mmm (123)
**Total DFT energy (no corrections)**: -1.6893 eV/atom
**Volume**: 24.69 Å³/atom
**Formation energy from raw total energies**: 5.556 eV per formula unit

Cell lengths 5.002, 5.002, 4.934 Å; angles 90.00, 90.00, 90.00 degrees
Sites, in units of the cell vectors:
Zn  0.000  0.500  0.000
Zn  0.500  0.000  0.000
As  0.000  0.000  0.500
Cl  0.000  0.000  0.000
O  0.500  0.500  0.500